Ag2Te4As PBE relaxed; polymorph energy (0 for the lowest one) = 38 meV per atom; raw formation energy = 0.12 eV per atom; volume = 29.2 Å³ per atom
1.0
7.698 0.000 0.204
0.000 8.118 0.000
-2.593 0.000 6.481
Ag Te As
4 8 2
Direct
0.778 0.750 0.081
0.222 0.250 0.919
0.387 0.250 0.385
0.613 0.750 0.615
0.584 0.517 0.278
0.003 0.750 0.829
0.997 0.250 0.171
0.584 0.983 0.278
0.873 0.250 0.569
0.416 0.017 0.722
0.416 0.483 0.722
0.127 0.750 0.431
0.308 0.750 0.162
0.692 0.250 0.838